Below is NaCuSe2Br after structural relaxation, with properties calculated at the PBE-GGA level.

POSCAR file:
```
NaCuSe2Br
1.0
4.6098 0.0000 0.0000
0.0000 4.6098 0.0000
0.0000 0.0000 6.6341
Na Cu Se Br
1 1 2 1
direct
0.0000 0.0000 0.0000
0.5000 0.5000 0.5000
0.0000 0.5000 0.5000
0.5000 0.0000 0.5000
0.5000 0.5000 0.0000
```

E_form (uncorrected) (eV per atom): -0.218
N(E_F) (states/eV per atom): 1.177
Energy above the most stable polymorph in this dataset (meV/atom): 0.0
Total magnetic moment (μB/f.u.): 0.6


Below is NaCuSe2Br after structural relaxation, with properties calculated at the PBE-GGA level.

POSCAR file:
```
NaCuSe2Br
1.0
5.3091 0.0000 0.0000
0.0000 5.3091 0.0000
0.0000 0.0000 5.3010
Na Cu Se Br
1 1 2 1
direct
0.0000 0.0000 0.0000
0.5000 0.5000 0.5000
0.0000 0.5000 0.0000
0.5000 0.0000 0.0000
0.0000 0.0000 0.5000
```

E_form (uncorrected) (eV per atom): 0.676
N(E_F) (states/eV per atom): 0.857
Energy above the most stable polymorph in this dataset (meV/atom): 894.3
Total magnetic moment (μB/f.u.): 2.7


Below is NaCuSeBr2 after structural relaxation, with properties calculated at the PBE-GGA level.

POSCAR file:
```
NaCuSeBr2
1.0
5.3457 0.0000 0.0000
0.0000 5.3457 0.0000
0.0000 0.0000 5.2761
Na Cu Se Br
1 1 1 2
direct
0.0000 0.0000 0.0000
0.5000 0.5000 0.5000
0.0000 0.0000 0.5000
0.0000 0.5000 0.0000
0.5000 0.0000 0.0000
```

E_form (uncorrected) (eV per atom): 0.402
N(E_F) (states/eV per atom): 1.644
Energy above the most stable polymorph in this dataset (meV/atom): 793.5
Total magnetic moment (μB/f.u.): 0.0